Entry 1:
The following is a PBE calculation of crystalline CaLa2NpO8 at its relaxed geometry, from the Alexandria database.

Unit cell a=4.135 b=5.456 c=7.763 alpha=90.00 beta=90.00 gamma=94.85
Element x y z (fractional)
O1 0.965 0.232 0.793
O2 0.035 0.768 0.793
O3 0.035 0.768 0.207
O4 0.503 0.755 0.500
O5 0.497 0.245 0.500
O6 0.558 0.781 0.000
O7 0.965 0.232 0.207
O8 0.442 0.219 0.000
La1 0.500 0.500 0.754
La2 0.500 0.500 0.246
Np1 0.000 0.000 0.000
Ca1 0.000 0.000 0.500

Values from the calculation:
* E_form (uncorrected): -2886 meV/atom
* spin magnetization: 1.07 μB per formula unit
* D(E_F): 0.44 states/eV per atom

Entry 2:
The following is a PBE calculation of crystalline Ca2LaNpO6 at its relaxed geometry, from the Alexandria database.

Unit cell a=5.944 b=5.944 c=6.183 alpha=61.27 beta=61.27 gamma=60.00
Element x y z (fractional)
Ca1 0.025 0.025 0.926
Ca2 0.533 0.533 0.402
O1 0.590 0.208 0.248
O2 0.684 0.129 0.773
O3 0.954 0.590 0.248
O4 0.208 0.954 0.248
O5 0.129 0.415 0.773
O6 0.415 0.684 0.773
Np1 0.318 0.318 0.046
La1 0.807 0.807 0.579

Values from the calculation:
* E_form (uncorrected): -3117 meV/atom
* spin magnetization: 2.00 μB per formula unit
* D(E_F): 0.82 states/eV per atom

Entry 3:
The following is a PBE calculation of crystalline CaLa2NpO6 at its relaxed geometry, from the Alexandria database.

Unit cell a=6.080 b=6.080 c=6.201 alpha=60.64 beta=60.64 gamma=60.00
Element x y z (fractional)
O1 0.121 0.428 0.772
O2 0.679 0.121 0.772
O3 0.948 0.602 0.256
O4 0.428 0.679 0.772
O5 0.195 0.947 0.256
O6 0.602 0.195 0.256
Ca1 0.809 0.809 0.574
La1 0.032 0.032 0.903
La2 0.535 0.535 0.394
Np1 0.313 0.313 0.060

Values from the calculation:
* E_form (uncorrected): -3190 meV/atom
* spin magnetization: 3.00 μB per formula unit
* D(E_F): 1.14 states/eV per atom

Entry 4:
The following is a PBE calculation of crystalline CaLaO4 at its relaxed geometry, from the Alexandria database.

Unit cell a=3.997 b=4.012 c=6.748 alpha=95.66 beta=90.00 gamma=119.87
Element x y z (fractional)
O1 0.099 0.199 0.389
O2 0.829 0.658 0.698
O3 0.668 0.336 0.797
O4 0.401 0.802 0.104
Ca1 0.440 0.880 0.465
La1 0.063 0.126 0.048

Values from the calculation:
* E_form (uncorrected): -2367 meV/atom
* spin magnetization: 1.01 μB per formula unit
* D(E_F): 0.52 states/eV per atom

Entry 5:
The following is a PBE calculation of crystalline CaLaO2 at its relaxed geometry, from the Alexandria database.

Unit cell a=5.023 b=5.023 c=6.150 alpha=114.10 beta=114.10 gamma=90.00
Element x y z (fractional)
O1 0.007 0.507 0.015
O2 0.493 0.993 0.985
O3 0.743 0.743 0.485
O4 0.257 0.257 0.515
La1 0.000 0.000 0.000
La2 0.750 0.250 0.500
Ca1 0.250 0.750 0.500
Ca2 0.500 0.500 0.000

Values from the calculation:
* E_form (uncorrected): -2810 meV/atom
* energy above the lowest structure with this stoichiometry: 0.0000 eV/atom
* spin magnetization: 0.00 μB per formula unit
* D(E_F): 0.32 states/eV per atom

Entry 6:
The following is a PBE calculation of crystalline CaLa2O2 at its relaxed geometry, from the Alexandria database.

Unit cell a=4.164 b=4.164 c=9.292 alpha=77.05 beta=77.05 gamma=90.00
Element x y z (fractional)
O1 0.750 0.250 0.500
O2 0.250 0.750 0.500
La1 0.684 0.684 0.631
La2 0.316 0.316 0.369
Ca1 0.000 0.000 0.000

Values from the calculation:
* E_form (uncorrected): -2254 meV/atom
* spin magnetization: 0.89 μB per formula unit
* D(E_F): 0.89 states/eV per atom